A geometry-optimized Y5Tm4Cd structure, computed with PBE-GGA.

Cell and atoms, written as extended XYZ:
```
10
Lattice="-2.081 -5.731 -0.782 5.647 -5.081 -1.951 0.133 -4.244 6.594" Properties=species:S:1:pos:R:3 pbc="T T T"
Y 3.321 -4.177 -0.748
Y -1.004 -6.240 1.719
Y 4.843 -8.428 2.195
Y -1.314 -3.618 -0.493
Y 0.518 -10.491 4.662
Tm 2.316 -10.749 1.984
Tm 1.542 -3.868 1.937
Tm 1.469 -7.350 3.485
Tm 2.389 -7.267 0.435
Cd -0.349 -0.962 -0.131
```

- Space group: No. 79
- M_tot: 0.000 μB per formula unit
- Calculated formation energy: 0.221 eV/atom



A geometry-optimized Sc2CuPd2 structure, computed with PBE-GGA.

Cell and atoms, written as extended XYZ:
```
5
Lattice="5.067 0.000 0.000 0.000 5.067 0.000 2.534 2.534 3.858" Properties=species:S:1:pos:R:3 pbc="T T T"
Pd 5.067 5.067 2.586
Pd 2.534 2.534 1.271
Cu 0.000 0.000 0.000
Sc 5.067 2.534 1.929
Sc 2.534 5.067 1.929
```

- Space group: No. 139
- M_tot: 0.000 μB per formula unit
- Calculated formation energy: -0.383 eV/atom



A geometry-optimized LiTcRh structure, computed with PBE-GGA.

Cell and atoms, written as extended XYZ:
```
6
Lattice="-1.342 1.575 -1.748 1.894 -1.715 -0.901 -9.356 -9.574 -1.442" Properties=species:S:1:pos:R:3 pbc="T T T"
Rh 1.221 -0.927 -1.772
Rh -4.269 -5.098 -1.315
Li -6.011 -6.134 -3.009
Li -3.052 -3.106 -2.553
Tc -7.445 -8.341 -1.799
Tc -1.100 -1.848 -0.821
```

- Space group: No. 38
- M_tot: 0.247 μB per formula unit
- Calculated formation energy: 0.042 eV/atom



A geometry-optimized BaNiSe2 structure, computed with PBE-GGA.

Cell and atoms, written as extended XYZ:
```
4
Lattice="-3.420 -3.569 1.502 0.301 -2.034 4.740 -3.570 1.173 3.546" Properties=species:S:1:pos:R:3 pbc="T T T"
Se 0.000 0.000 0.000
Se -1.672 -1.107 2.447
Ni -5.017 -3.322 7.341
Ba -3.345 -2.215 4.894
```

- Space group: No. 216
- M_tot: 1.177 μB per formula unit
- Energy relative to the elements, uncorrected: -0.06 eV per atom



A geometry-optimized Tc2I4Br3 structure, computed with PBE-GGA.

Cell and atoms, written as extended XYZ:
```
18
Lattice="-2.327 3.319 -7.007 -8.506 2.705 1.456 0.525 8.922 1.403" Properties=species:S:1:pos:R:3 pbc="T T T"
Br -6.422 7.829 -3.822
Br -7.618 4.530 -3.432
Br -3.885 7.117 -0.326
Br -2.689 10.416 -0.717
Br -9.933 7.890 -4.184
Br -0.374 7.056 0.036
I -2.036 3.857 0.552
I -8.271 11.089 -4.700
I -4.431 12.233 -4.471
I -1.596 8.121 -3.213
I -5.877 2.713 0.323
I -8.712 6.825 -0.935
I -6.275 10.002 -1.202
I -4.033 4.944 -2.946
Tc -6.150 5.553 -5.127
Tc -8.440 8.906 -2.506
Tc -1.868 6.040 -1.642
Tc -4.157 9.393 0.979
```

- Space group: No. 15
- M_tot: 3.052 μB per formula unit
- Energy relative to the elements, uncorrected: -0.07 eV per atom



A geometry-optimized TlCrPb2 structure, computed with PBE-GGA.

Cell and atoms, written as extended XYZ:
```
4
Lattice="-1.445 5.179 -0.035 -4.491 1.521 -2.535 -4.272 1.618 2.836" Properties=species:S:1:pos:R:3 pbc="T T T"
Pb -2.552 2.079 0.066
Pb 0.000 0.000 0.000
Tl -7.656 6.238 0.199
Cr -5.104 4.159 0.133
```

- Space group: No. 216
- M_tot: 4.790 μB per formula unit
- Calculated formation energy: 0.425 eV/atom



A geometry-optimized Nd3Ho2Er structure, computed with PBE-GGA.

Cell and atoms, written as extended XYZ:
```
12
Lattice="-0.520 -2.968 1.875 4.338 -4.565 -2.666 13.821 2.200 10.673" Properties=species:S:1:pos:R:3 pbc="T T T"
Ho 10.033 -3.478 3.993
Ho 13.534 -3.103 8.915
Ho 4.105 -2.230 0.966
Ho 7.606 -1.855 5.888
Nd 6.040 -6.814 0.963
Nd 3.001 -5.195 -0.674
Nd 11.598 1.481 8.918
Nd 5.106 -0.648 3.748
Nd 12.533 -4.685 6.133
Nd 14.638 -0.138 10.555
Er 6.725 -3.647 2.808
Er 10.914 -1.686 7.074
```

- Space group: No. 12
- M_tot: 0.000 μB per formula unit
- Calculated formation energy: 0.109 eV/atom



A geometry-optimized AlHg structure, computed with PBE-GGA.

Cell and atoms, written as extended XYZ:
```
12
Lattice="-4.671 1.545 -10.210 -1.249 -3.076 0.106 -5.815 2.466 3.034" Properties=species:S:1:pos:R:3 pbc="T T T"
Al -4.383 0.925 0.700
Al -4.447 -1.104 -5.868
Al -7.981 2.116 -7.165
Al -3.374 -1.459 -3.523
Al -7.459 2.040 -2.569
Al -2.838 -1.497 1.072
Hg -8.611 0.666 -4.944
Hg -6.133 -0.824 -3.610
Hg -6.611 0.004 -0.572
Hg -5.434 1.032 -7.245
Hg -2.763 0.148 -1.407
Hg -5.732 2.033 2.930
```

- Space group: No. 31
- M_tot: 0.000 μB per formula unit
- Calculated formation energy: 0.109 eV/atom



A geometry-optimized Zn6CoCu structure, computed with PBE-GGA.

Cell and atoms, written as extended XYZ:
```
8
Lattice="-2.750 0.571 -3.738 -0.904 -5.388 -1.798 -5.154 -3.993 -0.435" Properties=species:S:1:pos:R:3 pbc="T T T"
Zn -5.211 -6.825 -2.614
Zn -6.158 -5.303 -4.689
Zn -7.038 -7.916 -4.262
Zn -1.771 -0.894 -1.709
Zn -3.598 -1.985 -3.357
Zn -2.650 -3.507 -1.282
Co -4.404 -4.405 -2.986
Cu 0.000 0.000 0.000
```

- Space group: No. 12
- M_tot: 0.755 μB per formula unit
- Calculated formation energy: -0.005 eV/atom



A geometry-optimized ErHfAl2 structure, computed with PBE-GGA.

Cell and atoms, written as extended XYZ:
```
4
Lattice="3.553 0.000 0.000 0.000 3.553 0.000 0.000 0.000 6.575" Properties=species:S:1:pos:R:3 pbc="T T T"
Al 0.000 0.000 1.449
Al 0.000 0.000 5.126
Hf 1.776 1.776 0.000
Er 1.776 1.776 3.287
```

- Space group: No. 123
- M_tot: 0.000 μB per formula unit
- Calculated formation energy: -0.295 eV/atom